This record from Alexandria describes crystalline Y3TmPd2 at its relaxed geometry. The functional is PBE.

Properties
DFT formation energy   -623 meV/atom

Unit cell a=4.893 b=8.787 c=7.080 alpha=90.00 beta=90.00 gamma=90.00
Atoms (fractional coordinates):
Y  0.000  0.079  0.000
Y  0.000  0.333  0.371
Y  0.000  0.667  0.871
Y  0.000  0.921  0.500
Y  0.500  0.170  0.660
Y  0.500  0.830  0.160
Tm  0.500  0.420  0.031
Tm  0.500  0.580  0.531
Pd  0.000  0.346  0.778
Pd  0.000  0.654  0.278
Pd  0.500  0.158  0.252
Pd  0.500  0.842  0.752